Compound: Sr2YCdHg
Source: the Alexandria database
Functional: GGA-PBE
Structure: optimized geometry

Lattice parameters (Å, degrees): 6.1414 5.3843 6.1414 90.00 90.00 90.00
Element x y z (fractional)
1 Hg 0.0000 0.0000 0.0000
2 Sr 0.0000 0.0000 0.5000
3 Cd 0.0000 0.5000 0.0000
4 Sr 0.5000 0.0000 0.0000
5 Y 0.5000 0.5000 0.5000

Output
The density comes out at 4.72 Mg/m³. The density of states at the Fermi level comes out at 1.550 states/eV/atom. As for the space group: P4/mmm (123). As for the calculated volume: 40.6 Å³/atom. For the total energy, the calculation gives -0.0743 hartree per atom.



Compound: SrYCdHg
Source: the Alexandria database
Functional: GGA-PBE
Structure: optimized geometry

Lattice parameters (Å, degrees): 3.8708 3.8708 7.7714 90.00 90.00 90.00
Element x y z (fractional)
1 Hg 0.5000 0.5000 0.1392
2 Sr 0.0000 0.0000 0.8604
3 Y 0.0000 0.0000 0.3519
4 Cd 0.5000 0.5000 0.5764

Output
The density comes out at 6.98 Mg/m³. The density of states at the Fermi level comes out at 0.764 states/eV/atom. As for the space group: P4mm (99). The energy above the lowest structure with this stoichiometry is 0.000 eV per atom. As for the calculated volume: 29.1 Å³/atom. For the total energy, the calculation gives -0.1016 hartree per atom.



Compound: SrYCdHg
Source: the Alexandria database
Functional: GGA-PBE
Structure: optimized geometry

Lattice parameters (Å, degrees): 5.4722 5.4722 5.4722 60.00 60.00 60.00
Element x y z (fractional)
1 Y 0.7500 0.7500 0.7500
2 Hg 0.5000 0.5000 0.5000
3 Sr 0.2500 0.2500 0.2500
4 Cd 0.0000 0.0000 0.0000

Output
The density comes out at 7.02 Mg/m³. The density of states at the Fermi level comes out at 0.964 states/eV/atom. As for the space group: F-43m (216). The energy above the lowest structure with this stoichiometry is 0.052 eV per atom. As for the calculated volume: 29.0 Å³/atom. For the total energy, the calculation gives -0.0997 hartree per atom.



Compound: SrZnCdHg2
Source: the Alexandria database
Functional: GGA-PBE
Structure: optimized geometry

Lattice parameters (Å, degrees): 5.2903 5.2903 5.1024 90.00 90.00 90.00
Element x y z (fractional)
1 Hg 0.0000 0.5000 0.0000
2 Zn 0.0000 0.0000 0.0000
3 Cd 0.0000 0.0000 0.5000
4 Hg 0.5000 0.0000 0.0000
5 Sr 0.5000 0.5000 0.5000

Output
The density comes out at 7.75 Mg/m³. The density of states at the Fermi level comes out at 0.391 states/eV/atom. As for the space group: P4/mmm (123). As for the calculated volume: 28.6 Å³/atom. For the total energy, the calculation gives -0.0381 hartree per atom.



Compound: Sr2Zn3Cd4Hg
Source: the Alexandria database
Functional: GGA-PBE
Structure: optimized geometry

Lattice parameters (Å, degrees): 4.5062 4.5062 12.2721 90.00 90.00 90.00
Element x y z (fractional)
1 Zn 0.0000 0.0000 0.5000
2 Sr 0.0000 0.5000 0.7556
3 Cd 0.0000 0.0000 0.0000
4 Zn 0.5000 0.0000 0.8636
5 Zn 0.0000 0.5000 0.1364
6 Hg 0.5000 0.5000 0.5000
7 Cd 0.5000 0.0000 0.6456
8 Cd 0.0000 0.5000 0.3544
9 Cd 0.5000 0.5000 0.0000
10 Sr 0.5000 0.0000 0.2444

Output
The density comes out at 6.81 Mg/m³. The density of states at the Fermi level comes out at 0.343 states/eV/atom. As for the space group: P-4m2 (115). As for the calculated volume: 24.9 Å³/atom. For the total energy, the calculation gives -0.0495 hartree per atom.



Compound: SrZnCd2Hg
Source: the Alexandria database
Functional: GGA-PBE
Structure: optimized geometry

Lattice parameters (Å, degrees): 5.1308 5.1308 5.3371 90.00 90.00 90.00
Element x y z (fractional)
1 Hg 0.0000 0.0000 0.5000
2 Sr 0.5000 0.5000 0.5000
3 Cd 0.0000 0.5000 0.0000
4 Zn 0.0000 0.0000 0.0000
5 Cd 0.5000 0.0000 0.0000

Output
The density comes out at 6.84 Mg/m³. The density of states at the Fermi level comes out at 0.437 states/eV/atom. As for the space group: P4/mmm (123). As for the calculated volume: 28.1 Å³/atom. For the total energy, the calculation gives -0.0411 hartree per atom.



Compound: Sr2ZnCdHg6
Source: the Alexandria database
Functional: GGA-PBE
Structure: optimized geometry

Lattice parameters (Å, degrees): 7.7036 7.6895 7.8464 57.97 57.76 90.57
Element x y z (fractional)
1 Sr 0.7175 0.2831 0.4997
2 Cd 0.0000 0.0000 0.0000
3 Hg 0.2857 0.2863 0.9507
4 Hg 0.7413 0.2583 0.9998
5 Zn 0.5000 0.5000 0.0000
6 Hg 0.7143 0.7137 0.0493
7 Hg 0.1541 0.1542 0.5001
8 Hg 0.2587 0.7417 0.0002
9 Sr 0.2825 0.7169 0.5003
10 Hg 0.8459 0.8458 0.4999

Output
The density comes out at 8.50 Mg/m³. The density of states at the Fermi level comes out at 0.445 states/eV/atom. As for the space group: P-1 (2). As for the calculated volume: 30.4 Å³/atom. For the total energy, the calculation gives -0.0333 hartree per atom.



Compound: Sr3Zn2CdHg6
Source: the Alexandria database
Functional: GGA-PBE
Structure: optimized geometry

Lattice parameters (Å, degrees): 6.6595 6.6595 9.1556 90.00 90.00 120.00
Element x y z (fractional)
1 Zn 0.3333 0.6667 0.0015
2 Hg 0.1816 0.8184 0.2718
3 Hg 0.1816 0.3632 0.2718
4 Sr 0.3333 0.6667 0.6281
5 Sr 0.0000 0.0000 0.0000
6 Sr 0.6667 0.3333 0.3719
7 Hg 0.8184 0.6368 0.7282
8 Hg 0.8184 0.1816 0.7282
9 Hg 0.6368 0.8184 0.2718
10 Zn 0.6667 0.3333 0.9985
11 Cd 0.0000 0.0000 0.5000
12 Hg 0.3632 0.1816 0.7282

Output
The density comes out at 8.07 Mg/m³. The density of states at the Fermi level comes out at 0.577 states/eV/atom. As for the space group: P-3m1 (164). As for the calculated volume: 29.3 Å³/atom. For the total energy, the calculation gives -0.0388 hartree per atom.



Compound: TaCd2Hg
Source: the Alexandria database
Functional: GGA-PBE
Structure: optimized geometry

Lattice parameters (Å, degrees): 3.2147 4.9939 5.1000 90.00 90.00 90.00
Element x y z (fractional)
1 Cd 0.0000 0.0000 0.0000
2 Hg 0.5000 0.0000 0.5000
3 Ta 0.0000 0.5000 0.5000
4 Cd 0.5000 0.5000 0.0000

Output
The density comes out at 12.30 Mg/m³. The density of states at the Fermi level comes out at 0.620 states/eV/atom. As for the space group: Pmmm (47). As for the calculated volume: 20.5 Å³/atom. For the total energy, the calculation gives -0.1134 hartree per atom.



Compound: TaCd2Hg
Source: the Alexandria database
Functional: GGA-PBE
Structure: optimized geometry

Lattice parameters (Å, degrees): 2.9990 2.9990 9.0530 90.00 90.00 90.00
Element x y z (fractional)
1 Hg 0.0000 0.0000 0.5101
2 Cd 0.0000 0.0000 0.9911
3 Cd 0.5000 0.5000 0.2489
4 Ta 0.5000 0.5000 0.7498

Output
The density comes out at 12.37 Mg/m³. The density of states at the Fermi level comes out at 0.646 states/eV/atom. As for the space group: P4mm (99). As for the calculated volume: 20.4 Å³/atom. For the total energy, the calculation gives -0.1191 hartree per atom.



Compound: TaCd2Hg
Source: the Alexandria database
Functional: GGA-PBE
Structure: optimized geometry

Lattice parameters (Å, degrees): 4.8847 4.8847 4.8847 60.00 60.00 60.00
Element x y z (fractional)
1 Cd 0.0000 0.0000 0.0000
2 Hg 0.5000 0.5000 0.5000
3 Cd 0.2500 0.2500 0.2500
4 Ta 0.7500 0.7500 0.7500

Output
The density comes out at 12.22 Mg/m³. The density of states at the Fermi level comes out at 1.118 states/eV/atom. As for the space group: F-43m (216). As for the calculated volume: 20.6 Å³/atom. For the total energy, the calculation gives -0.1067 hartree per atom.



Compound: TaCd2Hg
Source: the Alexandria database
Functional: GGA-PBE
Structure: optimized geometry

Lattice parameters (Å, degrees): 6.1799 6.1799 6.1799 152.47 129.54 58.44
Element x y z (fractional)
1 Ta 0.2500 0.7500 0.5000
2 Cd 0.0084 0.0084 0.0000
3 Cd 0.4916 0.4916 0.0000
4 Hg 0.7500 0.2500 0.5000

Output
The density comes out at 12.05 Mg/m³. The density of states at the Fermi level comes out at 0.672 states/eV/atom. As for the space group: Immm (71). As for the calculated volume: 20.9 Å³/atom. For the total energy, the calculation gives -0.1145 hartree per atom.



Compound: TaCd2Hg
Source: the Alexandria database
Functional: GGA-PBE
Structure: optimized geometry

Lattice parameters (Å, degrees): 5.6469 5.9002 2.8637 79.54 82.66 116.59
Element x y z (fractional)
1 Ta 0.5000 0.5000 0.0000
2 Cd 0.5000 0.0000 0.5000
3 Cd 0.0000 0.0000 0.0000
4 Hg 0.0000 0.5000 0.5000

Output
The density comes out at 12.35 Mg/m³. The density of states at the Fermi level comes out at 0.582 states/eV/atom. As for the space group: C2/m (12). As for the calculated volume: 20.4 Å³/atom. For the total energy, the calculation gives -0.1169 hartree per atom.



Compound: TaCd3Hg
Source: the Alexandria database
Functional: GGA-PBE
Structure: optimized geometry

Lattice parameters (Å, degrees): 5.2579 5.2579 5.2579 90.00 90.00 90.00
Element x y z (fractional)
1 Hg 0.0000 0.0000 0.0000
2 Ta 0.5000 0.5000 0.5000
3 Cd 0.0000 0.0000 0.5000
4 Cd 0.0000 0.5000 0.0000
5 Cd 0.5000 0.0000 0.0000

Output
The density comes out at 8.21 Mg/m³. The density of states at the Fermi level comes out at 1.063 states/eV/atom. As for the space group: Pm-3m (221). The energy above the lowest structure with this stoichiometry is 0.281 eV per atom. As for the calculated volume: 29.1 Å³/atom. For the total energy, the calculation gives -0.0617 hartree per atom.



Compound: TaCd2Hg
Source: the Alexandria database
Functional: GGA-PBE
Structure: optimized geometry

Lattice parameters (Å, degrees): 4.4868 3.0162 6.5014 69.94 90.00 90.00
Element x y z (fractional)
1 Cd 0.0000 0.4348 0.5137
2 Hg 0.5000 0.2500 0.2500
3 Cd 0.0000 0.0652 0.9863
4 Ta 0.5000 0.7500 0.7500

Output
The density comes out at 12.18 Mg/m³. The density of states at the Fermi level comes out at 0.715 states/eV/atom. As for the space group: P2/m (10). As for the calculated volume: 20.7 Å³/atom. For the total energy, the calculation gives -0.1147 hartree per atom.



Compound: TaCd2Hg
Source: the Alexandria database
Functional: GGA-PBE
Structure: optimized geometry

Lattice parameters (Å, degrees): 4.2915 4.2915 4.3379 90.00 90.00 90.00
Element x y z (fractional)
1 Cd 0.0000 0.0000 0.0000
2 Ta 0.0000 0.5000 0.5000
3 Hg 0.5000 0.0000 0.5000
4 Cd 0.5000 0.5000 0.0000

Output
The density comes out at 12.60 Mg/m³. The density of states at the Fermi level comes out at 0.424 states/eV/atom. As for the space group: P4/mmm (123). As for the calculated volume: 20.0 Å³/atom. For the total energy, the calculation gives -0.1163 hartree per atom.



Compound: Ta3CdHg
Source: the Alexandria database
Functional: GGA-PBE
Structure: optimized geometry

Lattice parameters (Å, degrees): 4.9699 4.9699 4.9699 90.00 90.00 90.00
Element x y z (fractional)
1 Ta 0.0000 0.0000 0.5000
2 Ta 0.0000 0.5000 0.0000
3 Hg 0.5000 0.5000 0.5000
4 Ta 0.5000 0.0000 0.0000
5 Cd 0.0000 0.0000 0.0000

Output
The density comes out at 11.58 Mg/m³. The density of states at the Fermi level comes out at 1.231 states/eV/atom. As for the space group: Pm-3m (221). The energy above the lowest structure with this stoichiometry is 0.040 eV per atom. As for the calculated volume: 24.6 Å³/atom. For the total energy, the calculation gives -0.1927 hartree per atom.



Compound: TaCd2Hg
Source: the Alexandria database
Functional: GGA-PBE
Structure: optimized geometry

Lattice parameters (Å, degrees): 3.0007 4.4395 6.2078 90.00 90.00 90.00
Element x y z (fractional)
1 Hg 0.5000 0.5000 0.2500
2 Cd 0.0000 0.0000 0.9856
3 Ta 0.5000 0.5000 0.7500
4 Cd 0.0000 0.0000 0.5144

Output
The density comes out at 12.18 Mg/m³. The density of states at the Fermi level comes out at 0.716 states/eV/atom. As for the space group: Pmmm (47). As for the calculated volume: 20.7 Å³/atom. For the total energy, the calculation gives -0.1147 hartree per atom.



Compound: TaCd2Hg
Source: the Alexandria database
Functional: GGA-PBE
Structure: optimized geometry

Lattice parameters (Å, degrees): 7.8289 7.8289 6.2533 51.25 51.25 90.00
Element x y z (fractional)
1 Cd 0.8750 0.8786 0.7500
2 Hg 0.0000 0.0000 0.0000
3 Ta 0.2500 0.7500 0.5000
4 Cd 0.6286 0.1250 0.2500
5 Ta 0.5000 0.5000 0.0000
6 Cd 0.1214 0.6250 0.2500
7 Cd 0.3750 0.3714 0.7500
8 Hg 0.7500 0.2500 0.5000

Output
The density comes out at 11.30 Mg/m³. The density of states at the Fermi level comes out at 1.184 states/eV/atom. As for the space group: I-42d (122). As for the calculated volume: 22.3 Å³/atom. For the total energy, the calculation gives -0.1028 hartree per atom.



Compound: TaCd2Hg
Source: the Alexandria database
Functional: GGA-PBE
Structure: optimized geometry

Lattice parameters (Å, degrees): 10.5222 10.5222 10.5222 16.73 16.73 16.73
Element x y z (fractional)
1 Cd 0.4963 0.4963 0.4963
2 Hg 0.2500 0.2500 0.2500
3 Cd 0.0037 0.0037 0.0037
4 Ta 0.7500 0.7500 0.7500

Output
The density comes out at 11.96 Mg/m³. The density of states at the Fermi level comes out at 0.890 states/eV/atom. As for the space group: R-3m (166). As for the calculated volume: 21.0 Å³/atom. For the total energy, the calculation gives -0.1184 hartree per atom.